Record 1
DFT (GGA-PBE) results for a geometry-optimized Dy2Tm2Rh3 structure.

Values from the calculation:
Space-group type   C2/m
ΔE_f   -19.16 kcal/mol of atoms

a b c (Å): 4.7570 4.7589 8.3855
angles (deg): 106.62 89.94 120.02
Element x y z (fractional)
Dy 0.1244 0.2490 0.3737
Tm 0.6248 0.2497 0.8749
Tm 0.3752 0.7503 0.1251
Rh 0.2518 0.5036 0.7554
Rh 0.0000 0.0000 0.0000
Dy 0.8756 0.7510 0.6263
Rh 0.7482 0.4964 0.2446

Record 2
DFT (GGA-PBE) results for a geometry-optimized Ta2CdSi structure.

Values from the calculation:
Uncorrected formation energy   0.177 eV/atom
Space-group type   Cmmm

a b c (Å): 5.1090 5.1090 2.8489
angles (deg): 90.00 90.00 111.39
Element x y z (fractional)
Ta 0.0000 0.0000 0.0000
Ta 0.5000 0.5000 0.0000
Cd 0.5000 0.0000 0.5000
Si 0.0000 0.5000 0.5000